[1]
Crystalline K4Na at its relaxed geometry, computed with PBE.

Computed properties:
* magnetization: 0.0000 μB per atom
* energy relative to the elements: 1.01 kcal/mol of atoms
* VASP energy: -1.10 eV per atom

Lattice parameters (Å, degrees): 9.335 9.335 7.815 90.00 90.00 90.00
Space group P4/nbm (No. 125, origin choice 2)
Inequivalent atoms, fractional coordinates:
K (0.084, 0.584, 0.242) (multiplicity 8)
Na (0.250, 0.250, 0.500) (multiplicity 2)

[2]
Crystalline K5Na2 at its relaxed geometry, computed with PBE.

Computed properties:
* magnetization: 0.0000 μB per atom
* energy relative to the elements: 0.18 kcal/mol of atoms
* VASP energy: -1.15 eV per atom

Lattice parameters (Å, degrees): 4.586 4.586 40.945 90.00 90.00 90.00
Space group I4/mmm (No. 139)
Inequivalent atoms, fractional coordinates:
K (0.000, 0.000, 0.000) (multiplicity 2)
K (0.000, 0.000, 0.167) (multiplicity 4)
K (0.000, 0.000, 0.416) (multiplicity 4)
Na (0.000, 0.000, 0.270) (multiplicity 4)

[3]
Crystalline K5Na7 at its relaxed geometry, computed with PBE.

Computed properties:
* magnetization: 0.0000 μB per atom
* energy relative to the elements: 0.73 kcal/mol of atoms
* VASP energy: -1.20 eV per atom

Lattice parameters (Å, degrees): 4.439 14.599 9.338 90.00 90.00 90.00
Space group Pmm2 (No. 25)
Inequivalent atoms, fractional coordinates:
K (0.000, 0.000, 0.000) (multiplicity 1)
K (0.000, 0.358, 0.558) (multiplicity 2)
K (0.500, 0.164, 0.306) (multiplicity 2)
Na (0.000, 0.000, 0.585) (multiplicity 1)
Na (0.000, 0.330, 0.027) (multiplicity 2)
Na (0.500, 0.180, 0.786) (multiplicity 2)
Na (0.500, 0.500, 0.239) (multiplicity 1)
Na (0.500, 0.500, 0.855) (multiplicity 1)

[4]
Crystalline K2Na at its relaxed geometry, computed with PBE.

Computed properties:
* magnetization: 0.0000 μB per atom
* energy relative to the elements: 0.31 kcal/mol of atoms
* VASP energy: -1.16 eV per atom

Lattice parameters (Å, degrees): 4.685 4.685 16.281 90.00 90.00 90.00
Space group I4/mmm (No. 139)
Inequivalent atoms, fractional coordinates:
K (0.000, 0.000, 0.149) (multiplicity 4)
Na (0.000, 0.000, 0.500) (multiplicity 2)

[5]
Crystalline KNa6 at its relaxed geometry, computed with PBE.

Computed properties:
* magnetization: 0.0000 μB per atom
* energy relative to the elements: 0.58 kcal/mol of atoms
* VASP energy: -1.26 eV per atom

Lattice parameters (Å, degrees): 11.464 7.020 14.845 90.00 90.00 90.00
Space group Pnma (No. 62)
Inequivalent atoms, fractional coordinates:
K (0.245, 0.250, 0.067) (multiplicity 4)
Na (0.051, 0.750, 0.088) (multiplicity 4)
Na (0.064, 0.007, 0.308) (multiplicity 8)
Na (0.098, 0.250, 0.518) (multiplicity 4)
Na (0.141, 0.750, 0.856) (multiplicity 4)
Na (0.189, 0.250, 0.754) (multiplicity 4)

[6]
Crystalline K4Na at its relaxed geometry, computed with PBE.

Computed properties:
* magnetization: 0.0000 μB per atom
* energy relative to the elements: 2.65 kcal/mol of atoms
* VASP energy: -1.03 eV per atom

Lattice parameters (Å, degrees): 5.619 5.619 22.649 90.00 90.00 90.00
Space group I4/mmm (No. 139)
Inequivalent atoms, fractional coordinates:
K (0.000, 0.000, 0.090) (multiplicity 4)
K (0.000, 0.500, 0.250) (multiplicity 4)
Na (0.000, 0.000, 0.500) (multiplicity 2)

Question: Among the records above, which one has the lowest VASP energy?
Answer: KNa6